Entry 1:
# Pa2MnAl (PBE, relaxed)
# Energy of formation from the pure elements: 0.54 eV per atom
# Energy above the lowest structure with this stoichiometry: 0.574 eV/atom
data_Pa2MnAl
_chemical_formula_sum 'Pa6 Mn3 Al3'
_symmetry_space_group_name_H-M 'P 1'
_symmetry_Int_Tables_number 1
_cell_length_a 3.494
_cell_length_b 3.494
_cell_length_c 28.435
_cell_angle_alpha 90.00
_cell_angle_beta 90.00
_cell_angle_gamma 120.00
loop_
_symmetry_equiv_pos_as_xyz
'x,y,z'
loop_
_atom_site_label
_atom_site_type_symbol
_atom_site_fract_x
_atom_site_fract_y
_atom_site_fract_z
Pa1 Pa 0.000 0.000 0.111
Pa2 Pa 0.000 0.000 0.889
Pa3 Pa 0.333 0.667 0.556
Pa4 Pa 0.333 0.667 0.777
Pa5 Pa 0.667 0.333 0.223
Pa6 Pa 0.667 0.333 0.444
Mn1 Mn 0.000 0.000 0.500
Mn2 Mn 0.333 0.667 0.167
Mn3 Mn 0.667 0.333 0.833
Al1 Al 0.000 0.000 0.000
Al2 Al 0.333 0.667 0.667
Al3 Al 0.667 0.333 0.333

***

Entry 2:
# PaMn5Al7 (PBE, relaxed)
# Energy of formation from the pure elements: -0.27 eV per atom
data_PaMn5Al7
_chemical_formula_sum 'Pa1 Mn5 Al7'
_symmetry_space_group_name_H-M 'P 1'
_symmetry_Int_Tables_number 1
_cell_length_a 6.653
_cell_length_b 6.653
_cell_length_c 6.653
_cell_angle_alpha 136.43
_cell_angle_beta 97.55
_cell_angle_gamma 98.28
loop_
_symmetry_equiv_pos_as_xyz
'x,y,z'
loop_
_atom_site_label
_atom_site_type_symbol
_atom_site_fract_x
_atom_site_fract_y
_atom_site_fract_z
Pa1 Pa 0.000 0.000 0.000
Mn1 Mn 0.213 0.713 0.500
Mn2 Mn 0.483 0.470 0.484
Mn3 Mn 0.483 0.999 0.013
Mn4 Mn 0.986 0.470 0.987
Mn5 Mn 0.986 0.999 0.516
Al1 Al 0.206 0.493 0.713
Al2 Al 0.321 0.975 0.345
Al3 Al 0.338 0.338 0.000
Al4 Al 0.630 0.975 0.655
Al5 Al 0.648 0.648 0.000
Al6 Al 0.764 0.264 0.500
Al7 Al 0.780 0.493 0.287